Below is an optimized crystal structure of TlGe3Au, with properties calculated at the PBE-GGA level.

Calculated values
**Calculated formation energy**: 251 kJ/mol of formula units
**Electronic total energy**: -3.379 eV/atom
**SG**: Pm-3m (221)

abc: 5.123 5.123 5.123
angles: 90.00 90.00 90.00
Sites, in units of the cell vectors:
Ge: 0.000 0.500 0.000
Tl: 0.500 0.500 0.500
Ge: 0.000 0.000 0.500
Au: 0.000 0.000 0.000
Ge: 0.500 0.000 0.000